A relaxed Y2ScCd6 crystal. Source: the Alexandria database, functional PBE.

a = 3.3773 Å, b = 8.5544 Å, c = 8.5544 Å
α = 120.00°, β = 90.00°, γ = 90.00°
With the nearest neighbours (Å) after each atom.
Atoms (fractional coordinates):
Cd (0.5000, 0.3297, 0.3297)  3 Cd 2.82-2.91
Cd (0.5000, 0.0000, 0.3297)  3 Cd 2.82-2.91
Y (0.0000, 0.3333, 0.6667)  12 Cd 3.33, 2 Y 3.38
Cd (0.5000, 0.3297, 0.0000)  3 Cd 2.82-2.91
Cd (0.5000, 0.0000, 0.6703)  3 Cd 2.82-2.91
Cd (0.5000, 0.6703, 0.6703)  3 Cd 2.82-2.91
Sc (0.0000, 0.0000, 0.0000)  12 Cd 3.29, 2 Sc 3.38
Cd (0.5000, 0.6703, 0.0000)  3 Cd 2.82-2.91
Y (0.0000, 0.6667, 0.3333)  12 Cd 3.33, 2 Y 3.38

Calculated values
ΔE_f ... -28 kJ/mol of atoms
Magnetic moment ... 0.3 Bohr magnetons per cell
E_tot ... -3.045 eV/atom
Calculated volume ... 23.781 Å³/atom
SG ... No. 191